[1]
A plane-wave DFT calculation with PBE-GGA was carried out for LiLuSiAg after structural relaxation.

Values from the calculation:
VASP energy   -4.016 eV per atom
Volume   18.6 A^3/atom
Formation energy (no corrections)   -0.34 eV per atom

Cell lengths 6.6810, 6.6810, 6.6810 Å; angles 90.00, 90.00, 90.00 degrees
With the nearest neighbours (Å) after each atom.
Space group F-43m (No. 216)
Inequivalent atoms, fractional coordinates:
1 Li 0.0000 0.0000 0.0000 [4 per cell]  4 Si 2.89, 4 Ag 2.89
2 Lu 0.0000 0.0000 0.5000 [4 per cell]  4 Si 2.89, 4 Ag 2.89
3 Si 0.2500 0.2500 0.7500 [4 per cell]  4 Li 2.89, 4 Lu 2.89
4 Ag 0.2500 0.2500 0.2500 [4 per cell]  4 Li 2.89, 4 Lu 2.89


[2]
A plane-wave DFT calculation with PBE-GGA was carried out for Si2AgRh after structural relaxation.

Values from the calculation:
VASP energy   -5.219 eV per atom
Volume   14.6 A^3/atom
Formation energy (no corrections)   0.04 eV per atom
Energy above the lowest structure with this stoichiometry   0.850 eV/f.u.

Cell lengths 4.0752, 4.0752, 7.0322 Å; angles 90.00, 90.00, 90.00 degrees
With the nearest neighbours (Å) after each atom.
Space group I4/mmm (No. 139)
Inequivalent atoms, fractional coordinates:
1 Si 0.0000 0.5000 0.2500 [4 per cell]  4 Rh 2.69, 4 Ag 2.69, 4 Si 2.88
2 Ag 0.0000 0.0000 0.0000 [2 per cell]  8 Si 2.69, 4 Rh 2.88
3 Rh 0.0000 0.0000 0.5000 [2 per cell]  8 Si 2.69, 4 Ag 2.88


[3]
A plane-wave DFT calculation with PBE-GGA was carried out for Tb5Nd2 after structural relaxation.

Values from the calculation:
VASP energy   -4.655 eV per atom
Volume   32.8 A^3/atom
Energy above the lowest structure with this stoichiometry   0.000 eV/f.u.

Cell lengths 11.3504, 5.0819, 8.0475 Å; angles 90.00, 98.10, 90.00 degrees
With the nearest neighbours (Å) after each atom.
Space group C2/m (No. 12)
Inequivalent atoms, fractional coordinates:
1 Tb 0.0000 0.0000 0.0000 [2 per cell]  4 Nd 3.59, 8 Tb 3.59-3.60
2 Tb 0.1433 0.0000 0.4286 [4 per cell]  7 Tb 3.59-3.60, 5 Nd 3.59-3.60
3 Tb 0.2140 0.5000 0.1431 [4 per cell]  4 Nd 3.58-3.59, 8 Tb 3.59-3.60
4 Nd 0.0716 0.5000 0.7157 [4 per cell]  11 Tb 3.58-3.60, 1 Nd 3.62


[4]
A plane-wave DFT calculation with PBE-GGA was carried out for CaMoSe2 after structural relaxation.

Values from the calculation:
VASP energy   -5.728 eV per atom
Volume   21.6 A^3/atom
Formation energy (no corrections)   -0.78 eV per atom
Energy above the lowest structure with this stoichiometry   0.000 eV/f.u.

Cell lengths 4.0174, 4.0174, 18.5469 Å; angles 90.00, 90.00, 120.00 degrees
With the nearest neighbours (Å) after each atom.
Space group R-3m (No. 166, hexagonal axes)
Inequivalent atoms, fractional coordinates:
1 Ca 0.0000 0.0000 0.0000 [3 per cell]  6 Se 2.92
2 Mo 0.0000 0.0000 0.5000 [3 per cell]  6 Se 2.67
3 Se 0.0000 0.0000 0.2380 [6 per cell]  3 Mo 2.67, 3 Ca 2.92


[5]
A plane-wave DFT calculation with PBE-GGA was carried out for TlCuF3 after structural relaxation.

Values from the calculation:
VASP energy   -3.537 eV per atom
Volume   17.8 A^3/atom
Formation energy (no corrections)   -1.12 eV per atom

Cell lengths 4.6648, 4.6648, 16.3338 Å; angles 90.00, 90.00, 90.00 degrees
With the nearest neighbours (Å) after each atom.
Space group I-4m2 (No. 119)
Inequivalent atoms, fractional coordinates:
1 Tl 0.0000 0.0000 0.0000 [2 per cell]  4 F 2.54
2 Tl 0.0000 0.5000 0.2500 [2 per cell]  4 F 2.17
3 Cu 0.0000 0.5000 0.6728 [4 per cell]  6 F 2.37-2.65, 1 Cu 2.52
4 F 0.0000 0.0000 0.3010 [4 per cell]  2 Cu 2.37, 2 Tl 2.48
5 F 0.0000 0.2431 0.1392 [8 per cell]  1 Tl 2.17, 2 F 2.27-2.40


[6]
A plane-wave DFT calculation with PBE-GGA was carried out for BaAc2NpN5 after structural relaxation.

Values from the calculation:
VASP energy   -8.228 eV per atom
Volume   18.8 A^3/atom
Formation energy (no corrections)   -1.04 eV per atom

Cell lengths 4.2448, 6.4319, 12.3638 Å; angles 90.00, 90.00, 90.00 degrees
With the nearest neighbours (Å) after each atom.
Space group Immm (No. 71)
Inequivalent atoms, fractional coordinates:
1 Ba 0.0000 0.0000 0.0000 [2 per cell]  10 N 3.19-3.22
2 Ac 0.0000 0.5000 0.2190 [4 per cell]  7 N 2.59-2.80
3 Np 0.0000 0.0000 0.5000 [2 per cell]  6 N 2.12-2.14
4 N 0.0000 0.2235 0.3716 [8 per cell]  1 Np 2.14
5 N 0.0000 0.5000 0.0000 [2 per cell]  2 Np 2.12